MnCuPt4 PBE relaxed; SG = F-43m (216); ΔE_f = 0.03 eV/atom
1.0
1.1977 0.4479 5.0701
-3.1795 2.6254 3.2154
-2.8011 -2.5766 3.5856
Mn Cu Pt
1 1 4
Direct
0.0000 0.0000 0.0000
0.7500 0.7500 0.7500
0.8745 0.3752 0.3752
0.3752 0.3752 0.8745
0.3752 0.8745 0.3752
0.3752 0.3752 0.3752

***

Mn2CuPt6 PBE relaxed; SG = P4_2/mnm (136); ΔE_f = -0.28 eV/atom
1.0
-2.2236 -2.1517 -2.4982
5.6030 1.0920 -5.9279
3.8933 -6.8342 2.4210
Mn Cu Pt
4 2 12
Direct
0.0000 0.3296 0.8296
0.5000 0.8296 0.6704
0.5000 0.1704 0.3296
0.0000 0.6704 0.1704
0.5000 0.5000 0.0000
0.0000 0.0000 0.5000
0.0000 0.9976 0.1713
0.0000 0.6713 0.4976
0.0000 0.6567 0.8433
0.5000 0.1567 0.6567
0.5000 0.1713 0.0024
0.5000 0.4976 0.3287
0.0000 0.0024 0.8287
0.0000 0.3287 0.5024
0.0000 0.3433 0.1567
0.5000 0.8433 0.3433
0.5000 0.8287 0.9976
0.5000 0.5024 0.6713

***

Mn2Cu3Pt2 PBE relaxed; SG = I2_13 (199); ΔE_f = 0.16 eV/atom
1.0
-0.6346 -0.9629 -6.3795
0.6511 -5.7134 2.9936
-5.2623 3.0371 2.2611
Mn Cu Pt
4 6 4
Direct
0.0000 0.0000 0.4855
0.5000 0.4855 0.5000
0.5145 0.0145 0.0145
0.9855 0.5000 0.0000
0.7484 0.7500 0.9984
0.7516 0.2500 0.5016
0.0016 0.2516 0.2500
0.4984 0.2484 0.7500
0.2500 0.9984 0.2484
0.7500 0.5016 0.2516
0.0000 0.0000 0.8608
0.5000 0.8608 0.5000
0.1391 0.6392 0.6392
0.3609 0.5000 0.0000

***

MnCuPt PBE relaxed; SG = P3m1 (156); ΔE_f = -0.14 eV/atom
1.0
-1.9180 1.5933 3.4270
-2.2964 -1.8384 -3.0510
0.2528 -2.4109 1.2624
Cu Mn Pt
1 1 1
Direct
0.0000 0.0000 0.0399
0.6667 0.3333 0.2895
0.3333 0.6667 0.6706

***

MnCuPt3 PBE relaxed; SG = Cmcm (63); ΔE_f = 0.10 eV/atom
1.0
-3.4815 1.9655 -3.6897
-1.9304 -5.2108 -0.9543
-3.2548 2.0100 4.1419
Mn Cu Pt
2 2 6
Direct
0.2500 0.2543 0.7457
0.7500 0.7457 0.2543
0.0000 0.0000 0.0000
0.5000 0.0000 0.0000
0.2500 0.7622 0.2378
0.7500 0.2378 0.7622
0.2500 0.7012 0.6864
0.7500 0.2988 0.3136
0.2500 0.3136 0.2988
0.7500 0.6864 0.7012

***

Mn2CuPt PBE relaxed; SG = F-43m (216); ΔE_f = -0.03 eV/atom
1.0
-0.9720 -2.7820 -3.1225
-1.0767 -4.0387 0.9816
-4.0518 -1.3258 -0.5093
Cu Mn Pt
1 2 1
Direct
0.5000 0.5000 0.5000
0.0000 0.0000 0.0000
0.2500 0.2500 0.2500
0.7500 0.7500 0.7500

***

Q: Look up the ΔE_f of the first one.
A: 0.03 eV/atom